No. 1
A relaxed DyMgGaNi crystal, computed with GGA-PBE.

space-group type = No. 216

a = 4.7131 Å, b = 4.7131 Å, c = 4.7131 Å
α = 60.00°, β = 60.00°, γ = 60.00°
Last column: nearest neighbours and their distance in Å.
Sites, in units of the cell vectors:
Dy 0.0000 0.0000 0.0000  4 Ni 2.89, 4 Ga 2.89
Mg 0.5000 0.5000 0.5000  4 Ga 2.89, 4 Ni 2.89
Ga 0.7500 0.7500 0.7500  4 Mg 2.89, 4 Dy 2.89
Ni 0.2500 0.2500 0.2500  4 Dy 2.89, 4 Mg 2.89


No. 2
A relaxed DyMgGa2Ni5 crystal, computed with GGA-PBE.

space-group type = No. 123

a = 3.8788 Å, b = 3.8788 Å, c = 8.9526 Å
α = 90.00°, β = 90.00°, γ = 90.00°
Last column: nearest neighbours and their distance in Å.
Sites, in units of the cell vectors:
Dy 0.0000 0.0000 0.0000  12 Ni 2.74
Mg 0.0000 0.0000 0.5000  8 Ga 3.01, 8 Ni 3.20
Ga 0.5000 0.5000 0.3621  4 Ni 2.34, 1 Ga 2.47
Ga 0.5000 0.5000 0.6379  4 Ni 2.34, 1 Ga 2.47
Ni 0.0000 0.5000 0.2163  2 Ga 2.34
Ni 0.0000 0.5000 0.7837  2 Ga 2.34
Ni 0.5000 0.0000 0.2163  2 Ga 2.34
Ni 0.5000 0.0000 0.7837  2 Ga 2.34
Ni 0.5000 0.5000 0.0000  8 Ni 2.74, 4 Dy 2.74


No. 3
A relaxed DyMg2GaNi2 crystal, computed with GGA-PBE.

space-group type = No. 139

a = 6.0697 Å, b = 6.0697 Å, c = 6.0697 Å
α = 132.04°, β = 132.04°, γ = 70.17°
Last column: nearest neighbours and their distance in Å.
Sites, in units of the cell vectors:
Dy 0.0000 0.0000 0.0000  2 Ni 2.69
Mg 0.2500 0.7500 0.5000  4 Ni 2.48
Mg 0.7500 0.2500 0.5000  4 Ni 2.48
Ga 0.5000 0.5000 0.0000  2 Ni 2.27
Ni 0.2713 0.2713 0.0000  1 Ga 2.27, 4 Mg 2.48
Ni 0.7287 0.7287 0.0000  1 Ga 2.27, 4 Mg 2.48


No. 4
A relaxed DyMg2GaPd4 crystal, computed with GGA-PBE.

space-group type = No. 166

a = 8.0193 Å, b = 8.0193 Å, c = 8.0193 Å
α = 33.25°, β = 33.25°, γ = 33.25°
Last column: nearest neighbours and their distance in Å.
Sites, in units of the cell vectors:
Dy 0.0000 0.0000 0.0000  8 Pd 2.92
Mg 0.2465 0.2465 0.2465  7 Pd 2.68-2.81
Mg 0.7535 0.7535 0.7535  7 Pd 2.68-2.81
Ga 0.5000 0.5000 0.5000  8 Pd 2.56-2.79
Pd 0.1285 0.1285 0.1285  4 Mg 2.68-2.81, 3 Ga 2.79, 1 Dy 2.92
Pd 0.3872 0.3872 0.3872  1 Ga 2.56, 3 Mg 2.75
Pd 0.6128 0.6128 0.6128  1 Ga 2.56, 3 Mg 2.75
Pd 0.8715 0.8715 0.8715  4 Mg 2.68-2.81, 3 Ga 2.79, 1 Dy 2.92


No. 5
A relaxed DyMgGa2Pd2 crystal, computed with GGA-PBE.

space-group type = No. 164

a = 4.4218 Å, b = 4.4218 Å, c = 6.5640 Å
α = 90.00°, β = 90.00°, γ = 120.00°
Last column: nearest neighbours and their distance in Å.
Sites, in units of the cell vectors:
Dy 0.0000 0.0000 0.0000  6 Ga 3.14, 6 Pd 3.20, 2 Mg 3.28
Mg 0.0000 0.0000 0.5000  6 Pd 2.89, 6 Ga 2.94
Ga 0.3333 0.6667 0.7207  4 Pd 2.55-2.81
Ga 0.6667 0.3333 0.2793  4 Pd 2.55-2.81
Pd 0.3333 0.6667 0.2927  4 Ga 2.55-2.81
Pd 0.6667 0.3333 0.7073  4 Ga 2.55-2.81


No. 6
A relaxed Dy2MgGa3Pd4 crystal, computed with GGA-PBE.

space-group type = No. 115

a = 4.0321 Å, b = 4.0321 Å, c = 11.6292 Å
α = 90.00°, β = 90.00°, γ = 90.00°
Last column: nearest neighbours and their distance in Å.
Sites, in units of the cell vectors:
Dy 0.0000 0.5000 0.2422  8 Pd 3.11-3.46, 4 Ga 3.12
Dy 0.5000 0.0000 0.7578  8 Pd 3.11-3.46, 4 Ga 3.12
Mg 0.0000 0.0000 0.5000  4 Pd 2.68, 4 Ga 2.85
Ga 0.0000 0.5000 0.8675  5 Pd 2.51-2.54
Ga 0.5000 0.0000 0.1325  5 Pd 2.51-2.54
Ga 0.5000 0.5000 0.5000  4 Pd 2.68, 4 Mg 2.85
Pd 0.0000 0.0000 0.0000  4 Ga 2.54
Pd 0.0000 0.5000 0.6514  3 Ga 2.51-2.68, 2 Mg 2.68
Pd 0.5000 0.0000 0.3486  3 Ga 2.51-2.68, 2 Mg 2.68
Pd 0.5000 0.5000 0.0000  4 Ga 2.54


No. 7
A relaxed Dy2MgGa4Pd3 crystal, computed with GGA-PBE.

space-group type = No. 115

a = 4.0287 Å, b = 4.0287 Å, c = 11.7643 Å
α = 90.00°, β = 90.00°, γ = 90.00°
Last column: nearest neighbours and their distance in Å.
Sites, in units of the cell vectors:
Dy 0.0000 0.5000 0.2394  4 Pd 3.08, 4 Ga 3.14
Dy 0.5000 0.0000 0.7606  4 Pd 3.08, 4 Ga 3.14
Mg 0.0000 0.0000 0.5000  4 Ga 2.66, 4 Pd 2.85
Ga 0.0000 0.0000 0.0000  4 Pd 2.60, 4 Ga 2.85
Ga 0.0000 0.5000 0.6482  3 Pd 2.50-2.66, 2 Mg 2.66
Ga 0.5000 0.0000 0.3518  3 Pd 2.50-2.66, 2 Mg 2.66
Ga 0.5000 0.5000 0.0000  4 Pd 2.60, 4 Ga 2.85
Pd 0.0000 0.5000 0.8604  5 Ga 2.50-2.60
Pd 0.5000 0.0000 0.1396  5 Ga 2.50-2.60
Pd 0.5000 0.5000 0.5000  4 Ga 2.66, 4 Mg 2.85


No. 8
A relaxed PmDyMgGa crystal, computed with GGA-PBE.

space-group type = No. 216

a = 5.2292 Å, b = 5.2292 Å, c = 5.2292 Å
α = 60.00°, β = 60.00°, γ = 60.00°
Last column: nearest neighbours and their distance in Å.
Sites, in units of the cell vectors:
Pm 0.0000 0.0000 0.0000  4 Mg 3.20, 4 Ga 3.20
Dy 0.5000 0.5000 0.5000  4 Mg 3.20, 4 Ga 3.20
Mg 0.7500 0.7500 0.7500  4 Dy 3.20, 4 Pm 3.20
Ga 0.2500 0.2500 0.2500  4 Dy 3.20, 4 Pm 3.20


Calculated formation energy: -1.47; -2.18; -0.30; -5.91; -4.39; -7.64; -7.14; -1.36 (eV/f.u.)
Calculated density: 7.07; 7.64; 5.47; 8.50; 8.05; 8.64; 8.24; 6.59 (g/cm3)
N(E_F): 1.9; 4.4; 4.1; 3.5; 4.3; 6.0; 3.0; 2.4 (states/eV/f.u.)